{
  "formula": "AcY",
  "functional": "PBE",
  "state": "optimized geometry",
  "crystal_system": "hexagonal",
  "de_polymorph_mev_per_atom": 0,
  "total_energy_ev_per_atom": -5.200,
  "magnetic_moment_mub_per_atom": 0.01,
  "space_group": "P-6m2 (187)",
  "e_form_ev_per_atom": 0.09,
  "lattice_angstrom": [[3.830, 0.000, 0.000], [-1.915, 3.317, 0.000], [0.000, 0.000, 6.010]],
  "species": ["Ac", "Y"],
  "frac_coords": [[0.000, 0.000, 0.000], [0.667, 0.333, 0.500]]
}


{
  "formula": "AcY",
  "functional": "PBE",
  "state": "optimized geometry",
  "crystal_system": "cubic",
  "de_polymorph_mev_per_atom": 695,
  "total_energy_ev_per_atom": -4.505,
  "magnetic_moment_mub_per_atom": 0.44,
  "space_group": "Fm-3m (225)",
  "e_form_ev_per_atom": 0.78,
  "lattice_angstrom": [[0.000, 3.478, 3.478], [3.478, 0.000, 3.478], [3.478, 3.478, 0.000]],
  "species": ["Ac", "Y"],
  "frac_coords": [[0.000, 0.000, 0.000], [0.500, 0.500, 0.500]]
}


{
  "formula": "AcYZn",
  "functional": "PBE",
  "state": "optimized geometry",
  "crystal_system": "cubic",
  "de_polymorph_mev_per_atom": 613,
  "total_energy_ev_per_atom": -3.280,
  "magnetic_moment_mub_per_atom": 0.00,
  "space_group": "F-43m (216)",
  "e_form_ev_per_atom": 0.66,
  "lattice_angstrom": [[0.000, 3.690, 3.690], [3.690, 0.000, 3.690], [3.690, 3.690, 0.000]],
  "species": ["Ac", "Y", "Zn"],
  "frac_coords": [[0.000, 0.000, 0.000], [0.750, 0.750, 0.750], [0.250, 0.250, 0.250]]
}


| no. | volume (Å³/cell) |
| --- | --- |
| 1 | 76.3 |
| 2 | 84.2 |
| 3 | 100.5 |